Compound: Cr2H2Pb4ClO10F
Source: Alexandria via LeMat-Bulk
Functional: GGA+U
Structure: optimized geometry

Cell and atoms, written as POSCAR:
```
Cr2H2Pb4ClO10F
1.0
7.6621 0.0000 0.0000
0.0000 6.9826 0.0000
0.0000 0.0000 12.0116
Cr H Pb Cl O F
4 4 8 2 20 2
direct
0.0000 0.1464 0.0000 Cr
0.0000 0.1473 0.5026 Cr
0.5000 0.8527 0.0026 Cr
0.5000 0.8536 0.5000 Cr
0.2036 0.3586 0.7513 H
0.2964 0.6414 0.2513 H
0.7036 0.6414 0.2513 H
0.7964 0.3586 0.7513 H
0.0000 0.6162 0.1021 Pb
0.0000 0.6167 0.4012 Pb
0.2500 0.0725 0.2513 Pb
0.2500 0.9275 0.7513 Pb
0.5000 0.3833 0.9012 Pb
0.5000 0.3838 0.6021 Pb
0.7500 0.0725 0.2513 Pb
0.7500 0.9275 0.7513 Pb
0.0000 0.5854 0.7495 Cl
0.5000 0.4146 0.2495 Cl
0.0000 0.0295 0.8771 O
0.0000 0.0309 0.6257 O
0.0000 0.9868 0.1075 O
0.0000 0.9871 0.3953 O
0.1748 0.2816 0.0141 O
0.1748 0.2824 0.4882 O
0.1904 0.7226 0.2515 O
0.3096 0.2774 0.7515 O
0.3252 0.7184 0.5141 O
0.3252 0.7176 0.9882 O
0.5000 0.0132 0.6075 O
0.5000 0.0129 0.8953 O
0.5000 0.9691 0.1257 O
0.5000 0.9705 0.3771 O
0.6748 0.7184 0.5141 O
0.6748 0.7176 0.9882 O
0.6904 0.2774 0.7515 O
0.8096 0.7226 0.2515 O
0.8252 0.2816 0.0141 O
0.8252 0.2824 0.4882 O
0.0000 0.3644 0.2514 F
0.5000 0.6356 0.7514 F
```

Properties
Space-group type ... Pmn2_1, No. 31

Compound: CrHgClF2
Source: Alexandria via LeMat-Bulk
Functional: GGA+U
Structure: optimized geometry

Cell and atoms, written as POSCAR:
```
CrHgClF2
1.0
4.0329 0.0000 0.0000
0.0000 4.0329 0.0000
0.0000 0.0000 6.0245
Cr Hg Cl F
1 1 1 2
direct
0.0000 0.0000 0.0000 Cr
0.5000 0.5000 0.5000 Hg
0.0000 0.0000 0.5000 Cl
0.0000 0.5000 0.0000 F
0.5000 0.0000 0.0000 F
```

Properties
Space-group type ... P4/mmm, No. 123

no.,VASP energy (eV/atom)
1,-5.8275
2,-4.2690